Density functional theory data (PBE) for a relaxed RbGeB crystal.

Summary:
The total magnetic moment comes out at 0.0 Bohr magnetons per cell. For the uncorrected energy, the calculation gives -3.60 eV per atom. The formation energy is 0.491 eV/atom. The calculation puts the density of states at the Fermi level at 0.0083 states/eV per atom. The space-group type is No. 63.

a = 7.854 Å, b = 7.854 Å, c = 3.673 Å
α = 90.00°, β = 90.00°, γ = 127.82°
Sites, in units of the cell vectors:
Rb 0.155 0.845 0.750
Rb 0.845 0.155 0.250
Ge 0.370 0.630 0.250
Ge 0.630 0.370 0.750
B 0.500 0.500 0.000
B 0.500 0.500 0.500

---

Density functional theory data (PBE) for a relaxed RbGeB crystal.

Summary:
The total magnetic moment comes out at 0.0 Bohr magnetons per cell. For the uncorrected energy, the calculation gives -3.77 eV per atom. The formation energy is 0.320 eV/atom. The calculation puts the density of states at the Fermi level at 0.2960 states/eV per atom. The space-group type is No. 12.

a = 7.262 Å, b = 7.262 Å, c = 7.286 Å
α = 103.72°, β = 103.72°, γ = 25.71°
Sites, in units of the cell vectors:
Rb 0.114 0.114 0.277
Rb 0.886 0.886 0.723
Ge 0.149 0.149 0.787
Ge 0.851 0.851 0.213
B 0.270 0.270 0.030
B 0.730 0.730 0.970

---

Density functional theory data (PBE) for a relaxed RbGeB crystal.

Summary:
The total magnetic moment comes out at 0.0 Bohr magnetons per cell. For the uncorrected energy, the calculation gives -3.89 eV per atom. The formation energy is 0.197 eV/atom. The calculation puts the density of states at the Fermi level at 0.2291 states/eV per atom. The space-group type is No. 71.

a = 6.694 Å, b = 6.694 Å, c = 6.694 Å
α = 137.17°, β = 133.68°, γ = 64.91°
Sites, in units of the cell vectors:
Rb 0.193 0.193 0.000
Rb 0.807 0.807 0.000
Ge 0.240 0.500 0.740
Ge 0.760 0.500 0.260
B 0.500 0.167 0.667
B 0.500 0.833 0.333

---

Density functional theory data (PBE) for a relaxed RbGeB crystal.

Summary:
The total magnetic moment comes out at 0.0 Bohr magnetons per cell. For the uncorrected energy, the calculation gives -3.70 eV per atom. The formation energy is 0.387 eV/atom. The calculation puts the density of states at the Fermi level at 0.0000 states/eV per atom. The space-group type is No. 62.

a = 14.607 Å, b = 3.666 Å, c = 6.357 Å
α = 90.00°, β = 90.00°, γ = 90.00°
Sites, in units of the cell vectors:
Rb 0.139 0.250 0.118
Rb 0.361 0.750 0.618
Rb 0.639 0.250 0.382
Rb 0.861 0.750 0.882
Ge 0.113 0.750 0.631
Ge 0.387 0.250 0.131
Ge 0.613 0.750 0.869
Ge 0.887 0.250 0.369
B 0.000 0.000 0.500
B 0.000 0.500 0.500
B 0.500 0.000 0.000
B 0.500 0.500 0.000

---

Density functional theory data (PBE) for a relaxed RbGeB crystal.

Summary:
The total magnetic moment comes out at 0.0 Bohr magnetons per cell. For the uncorrected energy, the calculation gives -3.79 eV per atom. The formation energy is 0.302 eV/atom. The calculation puts the density of states at the Fermi level at 0.4223 states/eV per atom. The space-group type is No. 2.

a = 3.233 Å, b = 6.954 Å, c = 6.975 Å
α = 101.21°, β = 90.73°, γ = 90.61°
Sites, in units of the cell vectors:
Rb 0.002 0.288 0.212
Rb 0.998 0.712 0.788
Ge 0.485 0.233 0.735
Ge 0.515 0.767 0.265
B 0.252 0.003 0.503
B 0.748 0.997 0.497

---

Density functional theory data (PBE) for a relaxed RbGeB crystal.

Summary:
The total magnetic moment comes out at 0.0 Bohr magnetons per cell. For the uncorrected energy, the calculation gives -3.54 eV per atom. The formation energy is 0.552 eV/atom. The calculation puts the density of states at the Fermi level at 0.1249 states/eV per atom. The space-group type is No. 194.

a = 5.847 Å, b = 5.847 Å, c = 7.411 Å
α = 90.00°, β = 90.00°, γ = 120.00°
Sites, in units of the cell vectors:
Rb 0.333 0.667 0.250
Rb 0.667 0.333 0.750
Ge 0.000 0.000 0.000
Ge 0.000 0.000 0.500
B 0.000 0.000 0.250
B 0.000 0.000 0.750

---

Density functional theory data (PBE) for a relaxed RbGeB crystal.

Summary:
The total magnetic moment comes out at 0.0 Bohr magnetons per cell. For the uncorrected energy, the calculation gives -3.81 eV per atom. The formation energy is 0.277 eV/atom. The calculation puts the density of states at the Fermi level at 0.0000 states/eV per atom. The space-group type is No. 1.

a = 3.712 Å, b = 6.806 Å, c = 7.034 Å
α = 110.19°, β = 99.67°, γ = 102.87°
Sites, in units of the cell vectors:
Rb 0.000 0.000 0.000
Rb 0.434 0.650 0.405
Ge 0.239 0.167 0.572
Ge 0.682 0.440 0.920
B 0.184 0.507 0.780
B 0.804 0.355 0.595

---

Density functional theory data (PBE) for a relaxed RbGeB crystal.

Summary:
The total magnetic moment comes out at 0.0 Bohr magnetons per cell. For the uncorrected energy, the calculation gives -3.83 eV per atom. The formation energy is 0.260 eV/atom. The calculation puts the density of states at the Fermi level at 0.0656 states/eV per atom. The space-group type is No. 64.

a = 6.644 Å, b = 6.644 Å, c = 7.112 Å
α = 90.00°, β = 90.00°, γ = 64.69°
Sites, in units of the cell vectors:
Rb 0.196 0.196 0.000
Rb 0.304 0.304 0.500
Rb 0.696 0.696 0.500
Rb 0.804 0.804 0.000
Ge 0.147 0.853 0.647
Ge 0.353 0.647 0.147
Ge 0.647 0.353 0.853
Ge 0.853 0.147 0.353
B 0.151 0.849 0.349
B 0.349 0.651 0.849
B 0.651 0.349 0.151
B 0.849 0.151 0.651